[1]
# Si3Hg12Sb5 | Alexandria via LeMat-Bulk | PBE | relaxed
data_Si3Hg12Sb5
_chemical_formula_sum 'Si12 Hg48 Sb20'
_cell_length_a 14.377
_cell_length_b 14.377
_cell_length_c 14.377
_cell_angle_alpha 109.47
_cell_angle_beta 109.47
_cell_angle_gamma 109.47
_space_group_name_H-M_alt 'P 1'
_space_group_IT_number 1
loop_
_space_group_symop_operation_xyz
'x,y,z'
loop_
_atom_site_label
_atom_site_fract_x
_atom_site_fract_y
_atom_site_fract_z
Si1 0.125 0.250 0.375
Si2 0.125 0.375 0.750
Si3 0.250 0.375 0.125
Si4 0.250 0.875 0.625
Si5 0.375 0.125 0.250
Si6 0.375 0.750 0.125
Si7 0.625 0.250 0.875
Si8 0.625 0.875 0.750
Si9 0.750 0.125 0.375
Si10 0.750 0.625 0.875
Si11 0.875 0.625 0.250
Si12 0.875 0.750 0.625
Hg1 0.059 0.627 0.384
Hg2 0.059 0.932 0.675
Hg3 0.068 0.244 0.127
Hg4 0.068 0.325 0.941
Hg5 0.116 0.744 0.675
Hg6 0.116 0.873 0.441
Hg7 0.127 0.068 0.244
Hg8 0.127 0.559 0.884
Hg9 0.175 0.244 0.616
Hg10 0.175 0.432 0.559
Hg11 0.244 0.127 0.068
Hg12 0.244 0.616 0.175
Hg13 0.256 0.325 0.884
Hg14 0.256 0.432 0.373
Hg15 0.325 0.884 0.256
Hg16 0.325 0.941 0.068
Hg17 0.373 0.256 0.432
Hg18 0.373 0.616 0.941
Hg19 0.384 0.059 0.627
Hg20 0.384 0.825 0.756
Hg21 0.432 0.373 0.256
Hg22 0.432 0.559 0.175
Hg23 0.441 0.116 0.873
Hg24 0.441 0.825 0.568
Hg25 0.559 0.175 0.432
Hg26 0.559 0.884 0.127
Hg27 0.568 0.441 0.825
Hg28 0.568 0.627 0.744
Hg29 0.616 0.175 0.244
Hg30 0.616 0.941 0.373
Hg31 0.627 0.384 0.059
Hg32 0.627 0.744 0.568
Hg33 0.675 0.059 0.932
Hg34 0.675 0.116 0.744
Hg35 0.744 0.568 0.627
Hg36 0.744 0.675 0.116
Hg37 0.756 0.384 0.825
Hg38 0.756 0.873 0.932
Hg39 0.825 0.568 0.441
Hg40 0.825 0.756 0.384
Hg41 0.873 0.441 0.116
Hg42 0.873 0.932 0.756
Hg43 0.884 0.127 0.559
Hg44 0.884 0.256 0.325
Hg45 0.932 0.675 0.059
Hg46 0.932 0.756 0.873
Hg47 0.941 0.068 0.325
Hg48 0.941 0.373 0.616
Sb1 0.000 0.000 0.000
Sb2 0.000 0.000 0.500
Sb3 0.000 0.500 0.000
Sb4 0.000 0.500 0.500
Sb5 0.125 0.750 0.875
Sb6 0.125 0.875 0.250
Sb7 0.250 0.125 0.875
Sb8 0.250 0.625 0.375
Sb9 0.375 0.250 0.625
Sb10 0.375 0.625 0.750
Sb11 0.500 0.000 0.000
Sb12 0.500 0.000 0.500
Sb13 0.500 0.500 0.000
Sb14 0.500 0.500 0.500
Sb15 0.625 0.375 0.250
Sb16 0.625 0.750 0.375
Sb17 0.750 0.375 0.625
Sb18 0.750 0.875 0.125
Sb19 0.875 0.125 0.750
Sb20 0.875 0.250 0.125
# crystal system: cubic
# electronic total energy: -1.749 eV/atom

***

[2]
# Si5Hg12Sb3 | Alexandria via LeMat-Bulk | PBE | relaxed
data_Si5Hg12Sb3
_chemical_formula_sum 'Si20 Hg48 Sb12'
_cell_length_a 14.100
_cell_length_b 14.100
_cell_length_c 14.100
_cell_angle_alpha 109.47
_cell_angle_beta 109.47
_cell_angle_gamma 109.47
_space_group_name_H-M_alt 'P 1'
_space_group_IT_number 1
loop_
_space_group_symop_operation_xyz
'x,y,z'
loop_
_atom_site_label
_atom_site_fract_x
_atom_site_fract_y
_atom_site_fract_z
Si1 0.000 0.000 0.000
Si2 0.000 0.000 0.500
Si3 0.000 0.500 0.000
Si4 0.000 0.500 0.500
Si5 0.125 0.750 0.875
Si6 0.125 0.875 0.250
Si7 0.250 0.125 0.875
Si8 0.250 0.625 0.375
Si9 0.375 0.250 0.625
Si10 0.375 0.625 0.750
Si11 0.500 0.000 0.000
Si12 0.500 0.000 0.500
Si13 0.500 0.500 0.000
Si14 0.500 0.500 0.500
Si15 0.625 0.375 0.250
Si16 0.625 0.750 0.375
Si17 0.750 0.375 0.625
Si18 0.750 0.875 0.125
Si19 0.875 0.125 0.750
Si20 0.875 0.250 0.125
Hg1 0.037 0.214 0.115
Hg2 0.037 0.323 0.922
Hg3 0.078 0.615 0.401
Hg4 0.078 0.963 0.677
Hg5 0.099 0.714 0.677
Hg6 0.099 0.885 0.422
Hg7 0.115 0.037 0.214
Hg8 0.115 0.578 0.901
Hg9 0.177 0.214 0.599
Hg10 0.177 0.463 0.578
Hg11 0.214 0.115 0.037
Hg12 0.214 0.599 0.177
Hg13 0.286 0.323 0.901
Hg14 0.286 0.463 0.385
Hg15 0.323 0.901 0.286
Hg16 0.323 0.922 0.037
Hg17 0.385 0.286 0.463
Hg18 0.385 0.599 0.922
Hg19 0.401 0.078 0.615
Hg20 0.401 0.823 0.786
Hg21 0.422 0.099 0.885
Hg22 0.422 0.823 0.537
Hg23 0.463 0.385 0.286
Hg24 0.463 0.578 0.177
Hg25 0.537 0.422 0.823
Hg26 0.537 0.615 0.714
Hg27 0.578 0.177 0.463
Hg28 0.578 0.901 0.115
Hg29 0.599 0.177 0.214
Hg30 0.599 0.922 0.385
Hg31 0.615 0.401 0.078
Hg32 0.615 0.714 0.537
Hg33 0.677 0.078 0.963
Hg34 0.677 0.099 0.714
Hg35 0.714 0.537 0.615
Hg36 0.714 0.677 0.099
Hg37 0.786 0.401 0.823
Hg38 0.786 0.885 0.963
Hg39 0.823 0.537 0.422
Hg40 0.823 0.786 0.401
Hg41 0.885 0.422 0.099
Hg42 0.885 0.963 0.786
Hg43 0.901 0.115 0.578
Hg44 0.901 0.286 0.323
Hg45 0.922 0.037 0.323
Hg46 0.922 0.385 0.599
Hg47 0.963 0.677 0.078
Hg48 0.963 0.786 0.885
Sb1 0.125 0.250 0.375
Sb2 0.125 0.375 0.750
Sb3 0.250 0.375 0.125
Sb4 0.250 0.875 0.625
Sb5 0.375 0.125 0.250
Sb6 0.375 0.750 0.125
Sb7 0.625 0.250 0.875
Sb8 0.625 0.875 0.750
Sb9 0.750 0.125 0.375
Sb10 0.750 0.625 0.875
Sb11 0.875 0.625 0.250
Sb12 0.875 0.750 0.625
# crystal system: cubic
# electronic total energy: -1.855 eV/atom

***

[3]
# Si2HgSb | Alexandria via LeMat-Bulk | PBE | relaxed
data_Si2HgSb
_chemical_formula_sum 'Si8 Hg4 Sb4'
_cell_length_a 6.101
_cell_length_b 6.101
_cell_length_c 11.753
_cell_angle_alpha 90.00
_cell_angle_beta 90.00
_cell_angle_gamma 90.00
_space_group_name_H-M_alt 'P 1'
_space_group_IT_number 1
loop_
_space_group_symop_operation_xyz
'x,y,z'
loop_
_atom_site_label
_atom_site_fract_x
_atom_site_fract_y
_atom_site_fract_z
Si1 0.240 0.250 0.125
Si2 0.250 0.740 0.375
Si3 0.250 0.760 0.875
Si4 0.260 0.250 0.625
Si5 0.740 0.750 0.625
Si6 0.750 0.240 0.875
Si7 0.750 0.260 0.375
Si8 0.760 0.750 0.125
Hg1 0.000 0.000 0.000
Hg2 0.000 0.500 0.250
Hg3 0.500 0.000 0.750
Hg4 0.500 0.500 0.500
Sb1 0.000 0.000 0.500
Sb2 0.000 0.500 0.750
Sb3 0.500 0.000 0.250
Sb4 0.500 0.500 0.000
# crystal system: tetragonal
# energy above the lowest structure with this stoichiometry: 96.6 meV/atom

***

The records above yield V values of 28.60 26.98 27.35 Å³ per atom, respectively.